5
Lattice="5.130 0.000 0.000 0.000 5.130 0.000 0.000 0.000 5.083" Properties=species:S:1:pos:R:3 comment="TlIrS2Cl PBE relaxed" e_form_raw_ev_per_atom=1.433 de_polymorph_ev_per_fu=7.173 energy_ev_per_cell=-14.16 pbc="T T T"
Tl 0.000 0.000 0.000
Ir 2.565 2.565 2.541
S 0.000 2.565 0.000
S 2.565 0.000 0.000
Cl 0.000 0.000 2.541